HfInBr3 | GGA-PBE | relaxed

a b c (Å): 5.600 5.600 5.600
angles (deg): 90.00 90.00 90.00
Space group Pm-3m (No. 221)
Symmetry-distinct sites (fractional):
1 Hf 0.000 0.000 0.000 (multiplicity 1)
2 In 0.500 0.500 0.500 (multiplicity 1)
3 Br 0.000 0.500 0.500 (multiplicity 3)

Computed properties:
Density of states at the Fermi level (states/eV/cell): 11.41
Calculated total energy (eV/atom): -3.126
Volume (Å³/f.u.): 175.7
Formation energy (no corrections) (eV/atom): 0.416

---

Sm3TlPt | GGA-PBE | relaxed

a b c (Å): 3.842 15.906 10.184
angles (deg): 90.00 90.00 90.00
Space group Cmcm (No. 63)
Symmetry-distinct sites (fractional):
1 Sm 0.000 0.123 0.250 (multiplicity 4)
2 Sm 0.000 0.340 0.072 (multiplicity 8)
3 Tl 0.000 0.000 0.000 (multiplicity 4)
4 Pt 0.000 0.245 0.750 (multiplicity 4)

Computed properties:
Density of states at the Fermi level (states/eV/cell): 26.09
Calculated total energy (eV/atom): -5.035
ΔH_f (0 K) (eV per atom): -0.52
Relative energy among the computed polymorphs (meV per atom): 15
Volume (Å³/f.u.): 155.6

---

Tb2Hg6Pb | GGA-PBE | relaxed

a b c (Å): 10.476 6.377 7.689
angles (deg): 90.00 108.11 90.00
Space group C2/m (No. 12)
Symmetry-distinct sites (fractional):
1 Tb 0.179 0.000 0.260 (multiplicity 4)
2 Hg 0.098 0.259 0.890 (multiplicity 8)
3 Hg 0.248 0.500 0.321 (multiplicity 4)
4 Pb 0.000 0.500 0.500 (multiplicity 2)

Computed properties:
Density of states at the Fermi level (states/eV/cell): 12.25
Calculated total energy (eV/atom): -1.838
ΔH_f (0 K) (eV per atom): -0.20
Volume (Å³/f.u.): 244.1

---

Ba2PdPt | GGA-PBE | relaxed

a b c (Å): 4.4529 4.4529 28.2775
angles (deg): 90.00 90.00 120.00
Space group R-3m (No. 166, hexagonal axes)
Symmetry-distinct sites (fractional):
1 Ba 0.0000 0.0000 0.1025 (multiplicity 6)
2 Pd 0.0000 0.0000 0.0000 (multiplicity 3)
3 Pt 0.0000 0.0000 0.5000 (multiplicity 3)

Computed properties:
Density of states at the Fermi level (states/eV/cell): 5.02
Calculated total energy (eV/atom): -3.906
ΔH_f (0 K) (eV per atom): -0.14
Volume (Å³/f.u.): 161.9